Density functional theory data (PBE-GGA) for HoThMgTc after structural relaxation.

Cell: 5.1174 5.1174 5.1174 Å, 60.00 60.00 60.00°
With the nearest neighbours (Å) after each atom.
Positions (direct):
1 Th 0.0000 0.0000 0.0000  4 Mg 3.13, 4 Tc 3.13
2 Ho 0.5000 0.5000 0.5000  4 Tc 3.13, 4 Mg 3.13
3 Tc 0.2500 0.2500 0.2500  4 Th 3.13, 4 Ho 3.13
4 Mg 0.7500 0.7500 0.7500  4 Ho 3.13, 4 Th 3.13

Results
VASP energy (eV/atom): -5.983
Calculated formation energy (eV/f.u.): 0.02

Density functional theory data (PBE-GGA) for HoMgZrTc after structural relaxation.

Cell: 4.8943 4.8943 4.8943 Å, 60.00 60.00 60.00°
With the nearest neighbours (Å) after each atom.
Positions (direct):
1 Zr 0.7500 0.7500 0.7500  4 Mg 3.00, 4 Tc 3.00
2 Mg 0.0000 0.0000 0.0000  4 Ho 3.00, 4 Zr 3.00
3 Tc 0.5000 0.5000 0.5000  4 Zr 3.00, 4 Ho 3.00
4 Ho 0.2500 0.2500 0.2500  4 Tc 3.00, 4 Mg 3.00

Results
VASP energy (eV/atom): -6.329
Calculated formation energy (eV/f.u.): -0.23

Density functional theory data (PBE-GGA) for HoMgTe2 after structural relaxation.

Cell: 4.1844 4.1844 7.7901 Å, 74.42 74.42 60.00°
With the nearest neighbours (Å) after each atom.
Positions (direct):
1 Mg 0.6666 0.6666 0.0002  6 Te 2.97-2.98
2 Te 0.2548 0.2548 0.2357  3 Mg 2.98, 3 Ho 3.09
3 Te 0.0774 0.0774 0.7679  3 Mg 2.97, 3 Ho 3.14
4 Ho 0.5013 0.5013 0.4962  6 Te 3.09-3.14

Results
E above lowest polymorph (eV/atom): 0.000
VASP energy (eV/atom): -4.130
Formation energy from raw total energies (kcal/mol of atoms): -23.4

Density functional theory data (PBE-GGA) for Ho2MgTe after structural relaxation.

Cell: 3.8527 3.8527 10.7976 Å, 79.72 79.72 60.00°
With the nearest neighbours (Å) after each atom.
Positions (direct):
1 Mg 0.0000 0.0000 0.0000  2 Ho 3.26
2 Ho 0.8972 0.8972 0.3083  3 Te 3.01, 1 Mg 3.26
3 Te 0.5000 0.5000 0.5000  6 Ho 3.01
4 Ho 0.1028 0.1028 0.6917  3 Te 3.01, 1 Mg 3.26

Results
E above lowest polymorph (eV/atom): 0.391
VASP energy (eV/atom): -3.652
Formation energy from raw total energies (kcal/mol of atoms): -4.1

Density functional theory data (PBE-GGA) for Ho7Mg2Te2 after structural relaxation.

Cell: 6.8362 7.6020 6.8362 Å, 89.95 106.25 90.05°
With the nearest neighbours (Å) after each atom.
Positions (direct):
1 Te 0.7166 0.0003 0.2834  7 Ho 2.98-3.13
2 Ho 0.5000 0.2692 0.5000  2 Te 3.13, 2 Mg 3.23, 4 Ho 3.42
3 Mg 0.1700 0.5000 0.1700  1 Mg 2.79
4 Mg 0.8300 0.5000 0.8300  1 Mg 2.79
5 Ho 0.0000 0.0000 0.0000  2 Te 3.10
6 Ho 0.5000 0.7308 0.5000  2 Te 3.13, 2 Mg 3.23, 4 Ho 3.42
7 Ho 0.5005 0.7194 0.0002  2 Te 2.98, 2 Mg 3.27, 1 Ho 3.34
8 Ho 0.9998 0.7194 0.4995  2 Te 2.98, 2 Mg 3.27, 1 Ho 3.34
9 Ho 0.0002 0.2806 0.5005  2 Te 2.98, 2 Mg 3.27, 1 Ho 3.34
10 Te 0.2834 0.9997 0.7166  7 Ho 2.98-3.13
11 Ho 0.4995 0.2806 0.9998  2 Te 2.98, 2 Mg 3.27, 1 Ho 3.34

Results
VASP energy (eV/atom): -3.977
Formation energy from raw total energies (kcal/mol of atoms): -4.7

Density functional theory data (PBE-GGA) for Ho5MgTe4 after structural relaxation.

Cell: 7.2691 9.0947 9.4593 Å, 90.00 90.00 90.00°
With the nearest neighbours (Å) after each atom.
Positions (direct):
1 Ho 0.2443 0.3066 0.8000  4 Te 3.04-3.22, 1 Mg 3.34
2 Ho 0.7557 0.1934 0.3000  4 Te 3.04-3.22, 1 Mg 3.34
3 Ho 0.7557 0.8066 0.3000  4 Te 3.04-3.22, 1 Mg 3.34
4 Te 0.0795 0.0000 0.1898  1 Mg 2.94, 5 Ho 2.95-3.12
5 Ho 0.2443 0.3066 0.2000  4 Te 3.04-3.22, 1 Mg 3.34
6 Mg 0.7592 0.0000 0.0000  4 Te 2.80-2.94
7 Te 0.5696 0.7321 0.0000  1 Mg 2.80, 3 Ho 3.05-3.07
8 Ho 0.7557 0.8066 0.7000  4 Te 3.04-3.22, 1 Mg 3.34
9 Ho 0.7557 0.1934 0.7000  4 Te 3.04-3.22, 1 Mg 3.34
10 Te 0.5696 0.2679 0.0000  1 Mg 2.80, 3 Ho 3.05-3.07
11 Ho 0.8754 0.5000 0.0000  4 Te 2.95-3.07
12 Mg 0.2408 0.5000 0.5000  4 Te 2.80-2.94
13 Ho 0.1246 0.0000 0.5000  4 Te 2.95-3.07
14 Te 0.9205 0.5000 0.3102  1 Mg 2.94, 5 Ho 2.95-3.12
15 Ho 0.2443 0.6934 0.8000  4 Te 3.04-3.22, 1 Mg 3.34
16 Te 0.0795 0.0000 0.8102  1 Mg 2.94, 5 Ho 2.95-3.12
17 Te 0.4304 0.7679 0.5000  1 Mg 2.80, 3 Ho 3.05-3.07
18 Ho 0.2443 0.6934 0.2000  4 Te 3.04-3.22, 1 Mg 3.34
19 Te 0.9205 0.5000 0.6898  1 Mg 2.94, 5 Ho 2.95-3.12
20 Te 0.4304 0.2321 0.5000  1 Mg 2.80, 3 Ho 3.05-3.07

Results
VASP energy (eV/atom): -4.407
Formation energy from raw total energies (kcal/mol of atoms): -16.2

Density functional theory data (PBE-GGA) for HoMgTe2 after structural relaxation.

Cell: 4.3438 4.3438 9.4693 Å, 76.74 76.74 60.00°
With the nearest neighbours (Å) after each atom.
Positions (direct):
1 Mg 0.0000 0.0000 0.0000  2 Te 2.81
2 Ho 0.5000 0.5000 0.5000  6 Te 3.06
3 Te 0.8973 0.8973 0.3081  1 Mg 2.81, 3 Ho 3.06
4 Te 0.1027 0.1027 0.6919  1 Mg 2.81, 3 Ho 3.06

Results
E above lowest polymorph (eV/atom): 0.222
VASP energy (eV/atom): -3.908
Formation energy from raw total energies (kcal/mol of atoms): -18.3

Density functional theory data (PBE-GGA) for HoMgTe3 after structural relaxation.

Cell: 4.4837 6.5771 12.7577 Å, 107.29 90.00 90.00°
With the nearest neighbours (Å) after each atom.
Positions (direct):
1 Mg 0.7500 0.8915 0.3846  4 Te 2.79-2.88
2 Te 0.2500 0.1570 0.3982  3 Mg 2.81-2.88, 1 Ho 3.05
3 Ho 0.7500 0.8248 0.8377  6 Te 3.05-3.09
4 Te 0.2500 0.1581 0.9181  3 Ho 3.08-3.09, 1 Te 3.20
5 Te 0.7500 0.5043 0.2185  1 Mg 2.79, 2 Ho 3.05
6 Ho 0.2500 0.1752 0.1623  6 Te 3.05-3.09
7 Te 0.7500 0.8430 0.6018  3 Mg 2.81-2.88, 1 Ho 3.05
8 Mg 0.2500 0.1085 0.6154  4 Te 2.79-2.88
9 Te 0.7500 0.8419 0.0819  3 Ho 3.08-3.09, 1 Te 3.20
10 Te 0.2500 0.4957 0.7815  1 Mg 2.79, 2 Ho 3.05

Results
VASP energy (eV/atom): -4.029
Formation energy from raw total energies (kcal/mol of atoms): -21.0

Density functional theory data (PBE-GGA) for Ho2MgTe after structural relaxation.

Cell: 3.9438 3.9438 9.2577 Å, 77.70 77.70 60.00°
With the nearest neighbours (Å) after each atom.
Positions (direct):
1 Te 0.6672 0.6672 0.9985  6 Ho 3.03-3.06
2 Ho 0.2581 0.2581 0.2256  3 Te 3.06, 3 Mg 3.36
3 Ho 0.0750 0.0750 0.7751  3 Te 3.03, 3 Mg 3.35
4 Mg 0.4997 0.4997 0.5008  6 Ho 3.35-3.36

Results
E above lowest polymorph (eV/atom): 0.095
VASP energy (eV/atom): -3.949
Formation energy from raw total energies (kcal/mol of atoms): -11.0

Density functional theory data (PBE-GGA) for Ho2MgTe after structural relaxation.

Cell: 3.8947 3.8947 6.9548 Å, 90.00 90.00 90.00°
With the nearest neighbours (Å) after each atom.
Positions (direct):
1 Ho 0.0000 0.0000 0.7491  4 Te 3.25, 4 Mg 3.26, 2 Ho 3.46-3.49
2 Ho 0.0000 0.0000 0.2509  4 Te 3.25, 4 Mg 3.26, 2 Ho 3.46-3.49
3 Mg 0.5000 0.5000 0.0000  8 Ho 3.26, 2 Te 3.48
4 Te 0.5000 0.5000 0.5000  8 Ho 3.25, 2 Mg 3.48

Results
E above lowest polymorph (eV/atom): 0.000
VASP energy (eV/atom): -4.044
Formation energy from raw total energies (kcal/mol of atoms): -13.2

Density functional theory data (PBE-GGA) for HoMg2Te4 after structural relaxation.

Cell: 4.1074 7.2514 14.3158 Å, 90.00 90.00 106.45°
With the nearest neighbours (Å) after each atom.
Positions (direct):
1 Te 0.5000 0.0000 0.0000  4 Mg 2.95
2 Te 0.2159 0.4319 0.8829  3 Mg 2.92-3.00, 2 Ho 3.12
3 Mg 0.8657 0.7315 0.5705  6 Te 2.85-3.00
4 Te 0.2159 0.4319 0.6171  3 Mg 2.92-3.00, 2 Ho 3.12
5 Te 0.9540 0.9080 0.7500  2 Mg 2.85, 2 Ho 3.06
6 Mg 0.1343 0.2685 0.4295  6 Te 2.85-3.00
7 Te 0.5000 0.0000 0.5000  4 Mg 2.95
8 Mg 0.1343 0.2685 0.0705  6 Te 2.85-3.00
9 Te 0.7841 0.5681 0.3829  3 Mg 2.92-3.00, 2 Ho 3.12
10 Mg 0.8657 0.7315 0.9295  6 Te 2.85-3.00
11 Ho 0.3830 0.7661 0.2500  6 Te 3.06-3.12
12 Te 0.0460 0.0920 0.2500  2 Mg 2.85, 2 Ho 3.06
13 Te 0.7841 0.5681 0.1171  3 Mg 2.92-3.00, 2 Ho 3.12
14 Ho 0.6170 0.2339 0.7500  6 Te 3.06-3.12

Results
VASP energy (eV/atom): -3.797
Formation energy from raw total energies (kcal/mol of atoms): -20.6

Density functional theory data (PBE-GGA) for Ho3MgTl3Te8 after structural relaxation.

Cell: 8.6968 8.7002 9.5646 Å, 117.09 90.00 119.99°
With the nearest neighbours (Å) after each atom.
Positions (direct):
1 Te 0.7658 0.5316 0.2896  1 Mg 3.01, 2 Ho 3.06
2 Ho 0.5000 0.0000 0.5000  6 Te 3.06-3.07
3 Te 0.7421 0.9763 0.7105  1 Mg 3.01, 2 Ho 3.06
4 Te 0.2610 0.5220 0.2831  3 Ho 3.07, 3 Tl 3.41
5 Te 0.2342 0.4684 0.7104  1 Mg 3.01, 2 Ho 3.06
6 Mg 0.0000 0.0000 0.5000  6 Te 3.01
7 Ho 0.5000 0.5000 0.5000  6 Te 3.06-3.07
8 Te 0.2342 0.9763 0.7105  1 Mg 3.01, 2 Ho 3.06
9 Ho 0.0000 0.5000 0.5000  6 Te 3.06-3.07
10 Te 0.7658 0.0237 0.2895  1 Mg 3.01, 2 Ho 3.06
11 Te 0.2579 0.0237 0.2895  1 Mg 3.01, 2 Ho 3.06
12 Tl 0.0000 0.5000 0.0000  6 Te 3.41-3.43
13 Te 0.7390 0.4780 0.7169  3 Ho 3.07, 3 Tl 3.41
14 Tl 0.0000 0.0000 0.0000  6 Te 3.41-3.43
15 Tl 0.5000 0.5000 0.0000  6 Te 3.41-3.43

Results
VASP energy (eV/atom): -4.033
Formation energy from raw total energies (kcal/mol of atoms): -19.9